! LiAlCu | Alexandria | meta-GGA SCAN | PBEsol geometry; values from VASP
! * volume: 12.9 A^3/atom
! * space-group type: P3m1 (156)
! * E_form: -0.211 eV/atom
&SYSTEM
  ibrav = 0, nat = 3, ntyp = 3
/
ATOMIC_SPECIES
Al 26.98 Al.upf
Cu 63.55 Cu.upf
Li 6.94 Li.upf
CELL_PARAMETERS angstrom
-0.555 2.171 -1.212
-1.452 -2.188 -3.256
-2.579 1.078 3.112
ATOMIC_POSITIONS crystal
Al 0.005 0.000 0.000
Cu 0.580 0.333 0.667
Li 0.415 0.667 0.333

***

! LiAl2Cu | Alexandria | meta-GGA SCAN | PBEsol geometry; values from VASP
! * volume: 13.4 A^3/atom
! * space-group type: Fm-3m (225)
! * E_form: -0.240 eV/atom
&SYSTEM
  ibrav = 0, nat = 4, ntyp = 3
/
ATOMIC_SPECIES
Al 26.98 Al.upf
Cu 63.55 Cu.upf
Li 6.94 Li.upf
CELL_PARAMETERS angstrom
4.228 0.000 0.000
2.114 3.661 0.000
2.114 1.220 3.452
ATOMIC_POSITIONS crystal
Al 0.250 0.250 0.250
Al 0.750 0.750 0.750
Cu 0.000 0.000 0.000
Li 0.500 0.500 0.500

***

! Li2AlCu | Alexandria | meta-GGA SCAN | PBEsol geometry; values from VASP
! * volume: 13.8 A^3/atom
! * space-group type: I4/mmm (139)
! * E_form: -0.131 eV/atom
&SYSTEM
  ibrav = 0, nat = 4, ntyp = 3
/
ATOMIC_SPECIES
Al 26.98 Al.upf
Cu 63.55 Cu.upf
Li 6.94 Li.upf
CELL_PARAMETERS angstrom
-1.660 -3.146 -0.450
2.979 -1.717 1.017
-1.987 2.548 3.800
ATOMIC_POSITIONS crystal
Al 0.500 0.500 0.000
Cu 0.000 0.000 0.000
Li 0.750 0.250 0.500
Li 0.250 0.750 0.500

***

! Li2AlCu | Alexandria | meta-GGA SCAN | PBEsol geometry; values from VASP
! * volume: 14.6 A^3/atom
! * space-group type: P4mm (99)
! * E_form: -0.151 eV/atom
&SYSTEM
  ibrav = 0, nat = 4, ntyp = 3
/
ATOMIC_SPECIES
Al 26.98 Al.upf
Cu 63.55 Cu.upf
Li 6.94 Li.upf
CELL_PARAMETERS angstrom
2.886 0.000 0.000
0.000 2.886 0.000
0.000 0.000 7.011
ATOMIC_POSITIONS crystal
Al 0.000 0.000 0.532
Cu 0.500 0.500 0.740
Li 0.000 0.000 0.965
Li 0.500 0.500 0.262

***

! LiAl2Cu | Alexandria | meta-GGA SCAN | PBEsol geometry; values from VASP
! * volume: 14.8 A^3/atom
! * space-group type: Immm (71)
! * E_form: -0.117 eV/atom
&SYSTEM
  ibrav = 0, nat = 4, ntyp = 3
/
ATOMIC_SPECIES
Al 26.98 Al.upf
Cu 63.55 Cu.upf
Li 6.94 Li.upf
CELL_PARAMETERS angstrom
-0.362 2.289 -1.454
-4.637 -0.159 0.904
3.150 1.437 4.053
ATOMIC_POSITIONS crystal
Al 0.724 0.724 0.449
Al 0.276 0.276 0.551
Cu 0.000 0.500 0.000
Li 0.500 0.000 0.000

***

! Li2AlCu | Alexandria | meta-GGA SCAN | PBEsol geometry; values from VASP
! * volume: 13.5 A^3/atom
! * space-group type: Pmmm (47)
! * E_form: -0.146 eV/atom
&SYSTEM
  ibrav = 0, nat = 4, ntyp = 3
/
ATOMIC_SPECIES
Al 26.98 Al.upf
Cu 63.55 Cu.upf
Li 6.94 Li.upf
CELL_PARAMETERS angstrom
2.870 0.000 0.000
0.000 4.198 0.000
0.000 0.000 4.495
ATOMIC_POSITIONS crystal
Al 0.500 0.000 0.500
Cu 0.000 0.500 0.500
Li 0.000 0.000 0.000
Li 0.500 0.500 0.000

***

! LiAlCu2 | Alexandria | meta-GGA SCAN | PBEsol geometry; values from VASP
! * volume: 12.5 A^3/atom
! * space-group type: Imm2 (44)
! * E_form: -0.219 eV/atom
&SYSTEM
  ibrav = 0, nat = 4, ntyp = 3
/
ATOMIC_SPECIES
Al 26.98 Al.upf
Cu 63.55 Cu.upf
Li 6.94 Li.upf
CELL_PARAMETERS angstrom
-0.598 -2.707 0.696
1.735 0.568 3.701
-4.303 2.296 -0.636
ATOMIC_POSITIONS crystal
Al 0.264 0.764 0.529
Cu 0.005 0.005 0.011
Cu 0.739 0.239 0.478
Li 0.491 0.491 0.983

***

! Li2AlCu | Alexandria | meta-GGA SCAN | PBEsol geometry; values from VASP
! * volume: 13.9 A^3/atom
! * space-group type: Cm (8)
! * E_form: -0.137 eV/atom
&SYSTEM
  ibrav = 0, nat = 4, ntyp = 3
/
ATOMIC_SPECIES
Al 26.98 Al.upf
Cu 63.55 Cu.upf
Li 6.94 Li.upf
CELL_PARAMETERS angstrom
2.850 0.000 0.000
0.000 4.624 -0.055
-1.425 -1.273 4.245
ATOMIC_POSITIONS crystal
Al 0.514 0.562 0.028
Cu 0.254 0.696 0.508
Li 0.985 0.030 0.970
Li 0.747 0.213 0.494

***

! LiAl2Cu | Alexandria | meta-GGA SCAN | PBEsol geometry; values from VASP
! * volume: 14.1 A^3/atom
! * space-group type: F-43m (216)
! * E_form: -0.125 eV/atom
&SYSTEM
  ibrav = 0, nat = 4, ntyp = 3
/
ATOMIC_SPECIES
Al 26.98 Al.upf
Cu 63.55 Cu.upf
Li 6.94 Li.upf
CELL_PARAMETERS angstrom
-1.325 -0.855 4.001
-3.598 -2.268 0.635
0.230 -4.012 1.529
ATOMIC_POSITIONS crystal
Al 0.000 0.000 0.000
Al 0.250 0.250 0.250
Cu 0.500 0.500 0.500
Li 0.750 0.750 0.750

***

! Li2AlCu | Alexandria | meta-GGA SCAN | PBEsol geometry; values from VASP
! * volume: 13.6 A^3/atom
! * space-group type: C2/m (12)
! * E_form: -0.160 eV/atom
&SYSTEM
  ibrav = 0, nat = 4, ntyp = 3
/
ATOMIC_SPECIES
Al 26.98 Al.upf
Cu 63.55 Cu.upf
Li 6.94 Li.upf
CELL_PARAMETERS angstrom
-0.071 -2.702 -0.998
-1.142 -1.374 3.801
-3.700 2.565 -2.522
ATOMIC_POSITIONS crystal
Al 0.000 0.500 0.000
Cu 0.500 0.000 0.000
Li 0.234 0.234 0.468
Li 0.766 0.766 0.532

***

! LiAl2Cu | Alexandria | meta-GGA SCAN | PBEsol geometry; values from VASP
! * volume: 13.9 A^3/atom
! * space-group type: Pmmm (47)
! * E_form: -0.166 eV/atom
&SYSTEM
  ibrav = 0, nat = 4, ntyp = 3
/
ATOMIC_SPECIES
Al 26.98 Al.upf
Cu 63.55 Cu.upf
Li 6.94 Li.upf
CELL_PARAMETERS angstrom
-1.275 2.057 1.209
-0.396 -2.023 3.024
4.924 1.919 1.928
ATOMIC_POSITIONS crystal
Al 0.000 0.000 0.758
Al 0.000 0.000 0.242
Cu 0.500 0.500 0.000
Li 0.500 0.500 0.500

***

! LiAlCu | Alexandria | meta-GGA SCAN | PBEsol geometry; values from VASP
! * volume: 12.9 A^3/atom
! * space-group type: I4mm (107)
! * E_form: -0.204 eV/atom
&SYSTEM
  ibrav = 0, nat = 3, ntyp = 3
/
ATOMIC_SPECIES
Al 26.98 Al.upf
Cu 63.55 Cu.upf
Li 6.94 Li.upf
CELL_PARAMETERS angstrom
-0.143 -2.177 2.117
-1.219 -1.900 -2.036
4.524 0.734 -1.123
ATOMIC_POSITIONS crystal
Al 0.007 0.007 0.014
Cu 0.668 0.668 0.336
Li 0.325 0.325 0.651